A plane-wave DFT calculation with PBE-GGA was carried out for a geometry-optimized Pr2CuP structure.

For the formation energy, the calculation gives -0.622 eV per atom. The volume comes out at 23.2 Å³ per atom.

The structure belongs to space group P4/mmm (No. 123); the cell edges are 4.986, 4.986 and 3.737 Å and the angles 90.00°, 90.00° and 90.00°. Symmetry generates all atoms from Pr at (0.000, 0.500, 0.000), Cu at (0.000, 0.000, 0.500) and P at (0.500, 0.500, 0.500).